Entry 1:
## YCr4Si (PBE)

Data for a relaxed YCr4Si crystal.

The structure belongs to space group F-43m (No. 216); the cell edges are 7.0142, 7.0142 and 7.0142 Å and the angles 90.00°, 90.00° and 90.00°. Symmetry generates all atoms from Y at (0.0000, 0.0000, 0.0000), Cr at (0.1234, 0.1234, 0.6234) and Si at (0.2500, 0.2500, 0.2500).

The uncorrected energy comes out at -8.15 eV/atom. For the formation energy (no corrections), the calculation gives 249.9 meV/atom. For the magnetization, the calculation gives 0.0 μB per formula unit.

=====

Entry 2:
## Mg2GaFe2 (PBE)

Data for a relaxed Mg2GaFe2 crystal.

The structure belongs to space group I4/mmm (No. 139); the cell edges are 3.3297, 3.3297 and 15.9715 Å and the angles 90.00°, 90.00° and 90.00°. Symmetry generates all atoms from Mg at (0.0000, 0.0000, 0.1090), Ga at (0.0000, 0.0000, 0.5000) and Fe at (0.0000, 0.5000, 0.2500).

The uncorrected energy comes out at -4.35 eV/atom. The calculation puts the formation energy at 0.281 eV per atom. For the magnetization, the calculation gives 5.0 μB per formula unit.

=====

Entry 3:
## LiZrFe4 (PBE)

Data for a relaxed LiZrFe4 crystal.

The structure belongs to space group F-43m (No. 216); the cell edges are 6.8217, 6.8217 and 6.8217 Å and the angles 90.00°, 90.00° and 90.00°. Symmetry generates all atoms from Li at (0.0000, 0.0000, 0.0000), Zr at (0.2500, 0.2500, 0.2500) and Fe at (0.1260, 0.1260, 0.6260).

The uncorrected energy comes out at -7.44 eV/atom. The calculation puts the formation energy at -0.057 eV per atom. For the magnetization, the calculation gives 5.4 μB per formula unit.

=====

Entry 4:
## KMnIBr2 (PBE)

Data for a relaxed KMnIBr2 crystal.

The structure belongs to space group P4/mmm (No. 123); the cell edges are 5.3385, 5.3385 and 5.8735 Å and the angles 90.00°, 90.00° and 90.00°. Symmetry generates all atoms from K at (0.0000, 0.0000, 0.0000), Mn at (0.5000, 0.5000, 0.5000), I at (0.5000, 0.5000, 0.0000) and Br at (0.0000, 0.5000, 0.5000).

The uncorrected energy comes out at -4.03 eV/atom. For the formation energy (no corrections), the calculation gives -998.4 meV/atom. For the magnetization, the calculation gives 5.0 μB per formula unit.

=====

Entry 5:
## NaHfCd3 (PBE)

Data for a relaxed NaHfCd3 crystal.

The structure belongs to space group Pm-3m (No. 221); the cell edges are 5.6482, 5.6482 and 5.6482 Å and the angles 90.00°, 90.00° and 90.00°. Symmetry generates all atoms from Na at (0.0000, 0.0000, 0.0000), Hf at (0.5000, 0.5000, 0.5000) and Cd at (0.0000, 0.5000, 0.5000).

The uncorrected energy comes out at -2.17 eV/atom. The calculation puts the formation energy at 0.630 eV per atom. For the magnetization, the calculation gives 1.0 μB per formula unit.

=====

Entry 6:
## SmDyTm2N4 (PBE)

Data for a relaxed SmDyTm2N4 crystal.

The structure belongs to space group P2/m (No. 10); the cell edges are 6.0054, 3.4680 and 6.0076 Å and the angles 90.00°, 109.43° and 90.00°. Symmetry generates all atoms from Sm at (0.0000, 0.0000, 0.0000), Dy at (0.5000, 0.5000, 0.0000), Tm at (0.0000, 0.5000, 0.5000), Tm at (0.5000, 0.0000, 0.5000), N at (0.2510, 0.0000, 0.7434) and N at (0.2562, 0.5000, 0.2591).

The uncorrected energy comes out at -8.14 eV/atom. For the formation energy (no corrections), the calculation gives -1693.3 meV/atom. For the magnetization, the calculation gives 0.0 μB per formula unit.

=====

Entry 7:
## Al2IrSe (PBE)

Data for a relaxed Al2IrSe crystal.

The structure belongs to space group R-3m (No. 166, hexagonal axes); the cell edges are 3.1636, 3.1636 and 22.6981 Å and the angles 90.00°, 90.00° and 120.00°. Symmetry generates all atoms from Al at (0.0000, 0.0000, 0.2457), Ir at (0.0000, 0.0000, 0.5000) and Se at (0.0000, 0.0000, 0.0000).

The uncorrected energy comes out at -5.31 eV/atom. For the formation energy (no corrections), the calculation gives -353.0 meV/atom. For the magnetization, the calculation gives 0.0 μB per formula unit.

=====

Entry 8:
## GaGeMo2 (PBE)

Data for a relaxed GaGeMo2 crystal.

The structure belongs to space group Pmmn (No. 59, origin choice 2); the cell edges are 2.9930, 8.1393 and 5.1643 Å and the angles 90.00°, 90.00° and 90.00°. Symmetry generates all atoms from Ga at (0.2500, 0.2500, 0.0920), Ge at (0.2500, 0.7500, 0.4249) and Mo at (0.2500, 0.0057, 0.7490).

The uncorrected energy comes out at -7.34 eV/atom. The calculation puts the formation energy at -0.010 eV per atom. For the magnetization, the calculation gives 0.0 μB per formula unit.